The following is a PBE calculation of a geometry-optimized MgZn2Te structure, from the Alexandria database.

theoretical density = 5.3 Mg/m³
formation energy from raw total energies = 102 meV per atom
energy above the lowest structure with this stoichiometry = 271 meV/atom

CIF file:
```
data_MgZn2Te
_chemical_formula_sum 'Mg4 Zn8 Te4'
_symmetry_space_group_name_H-M 'F m -3 m'
_symmetry_Int_Tables_number 225
_symmetry_space_group_name_Hall '-F 4 2 3'
_cell_length_a 7.0660
_cell_length_b 7.0660
_cell_length_c 7.0660
_cell_angle_alpha 90.00
_cell_angle_beta 90.00
_cell_angle_gamma 90.00
loop_
_atom_site_label
_atom_site_type_symbol
_atom_site_fract_x
_atom_site_fract_y
_atom_site_fract_z
Mg1 Mg 0.0000 0.0000 0.0000
Zn1 Zn 0.2500 0.2500 0.2500
Te1 Te 0.0000 0.0000 0.5000
```

The following is a PBE calculation of a geometry-optimized MgZn2Te structure, from the Alexandria database.

theoretical density = 5.0 Mg/m³
formation energy from raw total energies = -18 meV per atom
energy above the lowest structure with this stoichiometry = 151 meV/atom

CIF file:
```
data_MgZn2Te
_chemical_formula_sum 'Mg4 Zn8 Te4'
_symmetry_space_group_name_H-M 'I -4 2 d'
_symmetry_Int_Tables_number 122
_symmetry_space_group_name_Hall 'I -4 2bw'
_cell_length_a 8.2176
_cell_length_b 8.2176
_cell_length_c 5.5193
_cell_angle_alpha 90.00
_cell_angle_beta 90.00
_cell_angle_gamma 90.00
loop_
_atom_site_label
_atom_site_type_symbol
_atom_site_fract_x
_atom_site_fract_y
_atom_site_fract_z
Mg1 Mg 0.0000 0.0000 0.0000
Zn1 Zn 0.2320 0.2500 0.6250
Te1 Te 0.0000 0.0000 0.5000
```

The following is a PBE calculation of a geometry-optimized Mg2Zn2Te structure, from the Alexandria database.

theoretical density = 4.6 Mg/m³
formation energy from raw total energies = -60 meV per atom
energy above the lowest structure with this stoichiometry = 16 meV/atom

CIF file:
```
data_Mg2Zn2Te
_chemical_formula_sum 'Mg4 Zn4 Te2'
_symmetry_space_group_name_H-M 'P 4/m b m'
_symmetry_Int_Tables_number 127
_symmetry_space_group_name_Hall '-P 4 2ab'
_cell_length_a 8.4200
_cell_length_b 8.4200
_cell_length_c 3.1253
_cell_angle_alpha 90.00
_cell_angle_beta 90.00
_cell_angle_gamma 90.00
loop_
_atom_site_label
_atom_site_type_symbol
_atom_site_fract_x
_atom_site_fract_y
_atom_site_fract_z
Mg1 Mg 0.1920 0.3080 0.0000
Zn1 Zn 0.1074 0.6074 0.5000
Te1 Te 0.0000 0.0000 0.0000
```

The following is a PBE calculation of a geometry-optimized Mg2Zn2Te structure, from the Alexandria database.

theoretical density = 4.8 Mg/m³
formation energy from raw total energies = -76 meV per atom
energy above the lowest structure with this stoichiometry = 0 meV/atom

CIF file:
```
data_Mg2Zn2Te
_chemical_formula_sum 'Mg4 Zn4 Te2'
_symmetry_space_group_name_H-M 'P 4/m b m'
_symmetry_Int_Tables_number 127
_symmetry_space_group_name_Hall '-P 4 2ab'
_cell_length_a 7.3028
_cell_length_b 7.3028
_cell_length_c 3.9866
_cell_angle_alpha 90.00
_cell_angle_beta 90.00
_cell_angle_gamma 90.00
loop_
_atom_site_label
_atom_site_type_symbol
_atom_site_fract_x
_atom_site_fract_y
_atom_site_fract_z
Mg1 Mg 0.1693 0.3307 0.0000
Zn1 Zn 0.1227 0.6227 0.5000
Te1 Te 0.0000 0.0000 0.5000
```

The following is a PBE calculation of a geometry-optimized MgZn2Te structure, from the Alexandria database.

theoretical density = 5.0 Mg/m³
formation energy from raw total energies = -68 meV per atom
energy above the lowest structure with this stoichiometry = 101 meV/atom

CIF file:
```
data_MgZn2Te
_chemical_formula_sum 'Mg2 Zn4 Te2'
_symmetry_space_group_name_H-M 'I 4/m m m'
_symmetry_Int_Tables_number 139
_symmetry_space_group_name_Hall '-I 4 2'
_cell_length_a 3.9641
_cell_length_b 3.9641
_cell_length_c 12.0395
_cell_angle_alpha 90.00
_cell_angle_beta 90.00
_cell_angle_gamma 90.00
loop_
_atom_site_label
_atom_site_type_symbol
_atom_site_fract_x
_atom_site_fract_y
_atom_site_fract_z
Mg1 Mg 0.0000 0.0000 0.0000
Zn1 Zn 0.0000 0.5000 0.2500
Te1 Te 0.0000 0.0000 0.5000
```

The following is a PBE calculation of a geometry-optimized MgZn2Te structure, from the Alexandria database.

theoretical density = 5.4 Mg/m³
formation energy from raw total energies = 110 meV per atom
energy above the lowest structure with this stoichiometry = 279 meV/atom

CIF file:
```
data_MgZn2Te
_chemical_formula_sum 'Mg1 Zn2 Te1'
_symmetry_space_group_name_H-M 'P 4/m m m'
_symmetry_Int_Tables_number 123
_symmetry_space_group_name_Hall '-P 4 2'
_cell_length_a 3.2638
_cell_length_b 3.2638
_cell_length_c 8.1490
_cell_angle_alpha 90.00
_cell_angle_beta 90.00
_cell_angle_gamma 90.00
loop_
_atom_site_label
_atom_site_type_symbol
_atom_site_fract_x
_atom_site_fract_y
_atom_site_fract_z
Mg1 Mg 0.0000 0.0000 0.0000
Zn1 Zn 0.5000 0.5000 0.2247
Te1 Te 0.0000 0.0000 0.5000
```

The following is a PBE calculation of a geometry-optimized MgZn2Te structure, from the Alexandria database.

theoretical density = 5.3 Mg/m³
formation energy from raw total energies = -50 meV per atom
energy above the lowest structure with this stoichiometry = 119 meV/atom

CIF file:
```
data_MgZn2Te
_chemical_formula_sum 'Mg1 Zn2 Te1'
_symmetry_space_group_name_H-M 'P 4/m m m'
_symmetry_Int_Tables_number 123
_symmetry_space_group_name_Hall '-P 4 2'
_cell_length_a 4.0757
_cell_length_b 4.0757
_cell_length_c 5.3199
_cell_angle_alpha 90.00
_cell_angle_beta 90.00
_cell_angle_gamma 90.00
loop_
_atom_site_label
_atom_site_type_symbol
_atom_site_fract_x
_atom_site_fract_y
_atom_site_fract_z
Mg1 Mg 0.0000 0.0000 0.0000
Zn1 Zn 0.0000 0.5000 0.5000
Te1 Te 0.5000 0.5000 0.0000
```

The following is a PBE calculation of a geometry-optimized MgZn2Te structure, from the Alexandria database.

theoretical density = 5.4 Mg/m³
formation energy from raw total energies = 109 meV per atom
energy above the lowest structure with this stoichiometry = 278 meV/atom

CIF file:
```
data_MgZn2Te
_chemical_formula_sum 'Mg2 Zn4 Te2'
_symmetry_space_group_name_H-M 'C m m m'
_symmetry_Int_Tables_number 65
_symmetry_space_group_name_Hall '-C 2 2'
_cell_length_a 4.3311
_cell_length_b 4.8382
_cell_length_c 8.3089
_cell_angle_alpha 90.00
_cell_angle_beta 90.00
_cell_angle_gamma 90.00
loop_
_atom_site_label
_atom_site_type_symbol
_atom_site_fract_x
_atom_site_fract_y
_atom_site_fract_z
Mg1 Mg 0.0000 0.0000 0.0000
Zn1 Zn 0.0000 0.5000 0.2260
Te1 Te 0.0000 0.0000 0.5000
```

Listing magnetic moment for the structures above in their given order: 0.0 0.0 0.0 0.0 0.0 0.0 0.0 0.0 μB/cell.